Record 1
Entry from Alexandria: a relaxed PrB14Ru crystal (GGA-PBE).

Cell and atoms, written as POSCAR:
```
PrB14Ru
1.0
-1.009 3.924 4.286
-4.467 -2.611 5.396
3.740 -1.488 6.300
Pr B Ru
2 28 2
Cartesian
-1.441 -0.182 3.885
-0.295 0.006 12.098
-1.202 1.201 6.732
-0.534 -1.377 9.250
-0.486 -2.731 10.501
-1.249 2.556 5.482
0.707 -0.936 5.081
-2.443 0.761 10.901
2.098 1.285 7.433
-3.833 -1.460 8.550
2.332 -1.019 5.539
-4.067 0.843 10.444
0.494 0.761 7.535
-2.230 -0.936 8.448
-2.361 0.853 8.090
0.299 0.239 9.277
-3.334 -1.311 5.784
2.281 -1.520 7.297
0.625 -1.028 7.893
-2.035 -0.415 6.705
1.599 1.136 10.199
-4.017 1.345 8.686
-1.399 -2.568 12.134
0.175 0.400 1.672
-0.736 1.553 8.517
-1.496 0.202 9.575
-0.337 2.393 3.849
-1.911 -0.575 14.311
-0.999 -1.729 7.466
-0.240 -0.378 6.408
1.366 1.218 5.293
1.870 -0.744 3.150
```

Summary:
total energy	-6.799	eV/atom
calculated formation energy	-0.08	eV per atom

Record 2
Entry from Alexandria: a relaxed PrB4Ru4 crystal (GGA-PBE).

Cell and atoms, written as POSCAR:
```
PrB4Ru4
1.0
4.021 0.000 0.000
0.000 7.565 0.000
0.000 0.000 7.565
Pr B Ru
2 8 8
Cartesian
0.000 0.000 0.000
2.010 3.783 3.783
2.452 6.303 2.184
2.452 1.262 5.381
0.442 5.966 5.044
3.579 2.521 5.966
3.579 5.044 1.599
1.568 2.184 1.262
1.568 5.381 6.303
0.442 1.599 2.521
1.569 2.686 6.750
3.580 4.598 6.469
1.569 4.879 0.815
0.441 1.096 4.598
2.451 6.750 4.879
0.441 6.469 2.967
3.580 2.967 1.096
2.451 0.815 2.686
```

Summary:
distance to the lowest polymorph of the same formula	0.000	eV/atom
total energy	-8.085	eV/atom
calculated formation energy	-0.46	eV per atom